1.
First-principles (PBE) data for crystalline KOsI2N at its relaxed geometry, as listed in the Alexandria database.

**Total magnetization**: 0.25 μB/f.u.
**Offset from the most stable computed form**: 2.695 eV/atom

a = 5.9085 Å, b = 5.9085 Å, c = 4.0126 Å
α = 90.00°, β = 90.00°, γ = 90.00°
Space group P4/mmm (No. 123)
One atom of each set of equivalent atoms:
K (0.0000, 0.0000, 0.0000)
Os (0.5000, 0.5000, 0.5000)
I (0.0000, 0.5000, 0.0000)
N (0.0000, 0.0000, 0.5000)

2.
First-principles (PBE) data for crystalline CaZrSi at its relaxed geometry, as listed in the Alexandria database.

**Total magnetization**: 0.00 μB/f.u.

a = 4.4058 Å, b = 4.4058 Å, c = 7.5870 Å
α = 90.00°, β = 90.00°, γ = 90.00°
Space group P4/nmm (No. 129, origin choice 2)
One atom of each set of equivalent atoms:
Ca (0.2500, 0.2500, 0.1454)
Zr (0.2500, 0.7500, 0.5000)
Si (0.2500, 0.2500, 0.7286)

Short version: theoretical density = 5.89 3.59 g cm⁻³, in the order given.
Short version: formation energy (no corrections) = 2.61 -0.46 eV/atom, in the order given.